This record from Alexandria via LeMat-Bulk describes VH2SF after structural relaxation. The functional is PBE+U.

- electronic total energy (Ry/atom) = -0.3162
- total moment (μB/cell) = 3.8

Unit cell a=3.214 b=3.214 c=6.738 alpha=90.00 beta=90.00 gamma=90.00
Fractional coordinates of all 5 atoms:
V 0.000 0.000 0.000
H 0.000 0.500 0.500
H 0.500 0.000 0.500
S 0.500 0.500 0.500
F 0.500 0.500 0.000